# NaFePdSe3 | OQMD via LeMat-Bulk | GGA-PBE | relaxed
# V = 19.8 Å³ per atom
# E above lowest polymorph = 0.007 eV/atom
# Total magnetization = 1.207 μB/f.u.
# Crystal system = monoclinic
data_NaFePdSe3
_chemical_formula_sum 'Na2 Fe2 Pd2 Se6'
_space_group_name_H-M_alt 'P 1'
_space_group_IT_number 1
_cell_length_a 7.496
_cell_length_b 3.611
_cell_length_c 9.287
_cell_angle_alpha 90.00
_cell_angle_beta 109.01
_cell_angle_gamma 90.00
loop_
_space_group_symop_operation_xyz
'x,y,z'
loop_
_atom_site_label
_atom_site_fract_x
_atom_site_fract_y
_atom_site_fract_z
Se1 0.957 0.250 0.124
Se2 0.043 0.750 0.876
Se3 0.220 0.750 0.422
Pd1 0.447 0.250 0.376
Fe1 0.192 0.750 0.159
Na1 0.739 0.750 0.282
Se4 0.379 0.250 0.102
Se5 0.621 0.750 0.898
Fe2 0.808 0.250 0.841
Se6 0.780 0.250 0.578
Pd2 0.553 0.750 0.624
Na2 0.261 0.250 0.718